A geometry-optimized LuCoO3 structure, computed with PBE with a Hubbard U.

abc: 5.0863 5.5424 7.2437
angles: 90.00 90.00 90.00
Last column: nearest neighbours and their distance in Å.
Atoms (fractional coordinates):
O1 0.8802 0.5353 0.7500  2 Co 1.92
O2 0.3087 0.6863 0.9430  2 Co 1.92-2.03
O3 0.6913 0.3137 0.0570  2 Co 1.92-2.03
O4 0.8087 0.8137 0.4430  2 Co 1.92-2.03
O5 0.1198 0.4647 0.2500  2 Co 1.92
Co1 0.0000 0.5000 0.0000  6 O 1.92-2.03
O6 0.6913 0.3137 0.4430  2 Co 1.92-2.03
O7 0.8087 0.8137 0.0570  2 Co 1.92-2.03
Lu1 0.5275 0.5858 0.2500  6 O 2.18-2.37
O8 0.3802 0.9647 0.2500  2 Co 1.92
Co2 0.5000 0.0000 0.0000  6 O 1.92-2.03
O9 0.6198 0.0353 0.7500  2 Co 1.92
O10 0.1913 0.1863 0.5570  2 Co 1.92-2.03
Lu2 0.0275 0.9142 0.7500  6 O 2.18-2.37
Co3 0.5000 0.0000 0.5000  6 O 1.92-2.03
O11 0.3087 0.6863 0.5570  2 Co 1.92-2.03
Lu3 0.9725 0.0858 0.2500  6 O 2.18-2.37
Lu4 0.4725 0.4142 0.7500  6 O 2.18-2.37
Co4 0.0000 0.5000 0.5000  6 O 1.92-2.03
O12 0.1913 0.1863 0.9430  2 Co 1.92-2.03

Values from the calculation:
* volume: 10.21 Å³/atom
* total magnetic moment: 8.0 Bohr magnetons per cell
* DFT total energy: -35.92 eV per formula unit
* SG: Pnma (62)